## i
{
  "formula": "Al2SiNi2",
  "functional": "PBEsol",
  "state": "optimized geometry",
  "lattice": [[3.902, 0.000, 0.000], [-1.951, 3.379, 0.000], [0.000, 0.000, 4.887]],
  "species": ["Al", "Al", "Si", "Ni", "Ni"],
  "frac_coords": [[0.333, 0.667, 0.353], [0.667, 0.333, 0.647], [0.000, 0.000, 0.000], [0.333, 0.667, 0.854], [0.667, 0.333, 0.146]]
}

---

## ii
{
  "formula": "Al2SiNi2",
  "functional": "PBEsol",
  "state": "optimized geometry",
  "lattice": [[-1.769, 1.769, 5.500], [1.769, -1.769, 5.500], [1.769, 1.769, -5.500]],
  "species": ["Al", "Al", "Si", "Ni", "Ni"],
  "frac_coords": [[0.250, 0.750, 0.500], [0.750, 0.250, 0.500], [0.000, 0.000, 0.000], [0.396, 0.396, 0.000], [0.604, 0.604, 0.000]]
}

---

Which one is the most stable? From the structures above, i.